Record 1
Computed, not measured: a relaxed structure of NdSmMnAl at the PBE level of DFT.

a b c (Å): 7.384 7.384 7.384
angles (deg): 90.00 90.00 90.00
Space group F-43m (No. 216)
Unique sites:
Nd1 0.000 0.000 0.000 x4
Sm1 0.000 0.000 0.500 x4
Mn1 0.250 0.250 0.250 x4
Al1 0.250 0.250 0.750 x4

Its formation energy is -0.01 eV/atom. For the calculated total energy, the calculation gives -89.76 eV/cell.

***

Record 2
Computed, not measured: a relaxed structure of Ag3HgRh at the PBE level of DFT.

a b c (Å): 5.076 5.076 5.076
angles (deg): 90.00 90.00 90.00
Space group Pm-3m (No. 221)
Unique sites:
Ag1 0.000 0.000 0.500 x3
Hg1 0.500 0.500 0.500 x1
Rh1 0.000 0.000 0.000 x1

As for the excess energy over the best structure of this formula in the dataset: 0 meV per atom. Its formation energy is 0.90 eV/atom. For the calculated total energy, the calculation gives -11.72 eV/cell.

***

Record 3
Computed, not measured: a relaxed structure of K3Tl2Bi3 at the PBE level of DFT.

a b c (Å): 9.628 17.837 7.426
angles (deg): 90.00 90.00 90.00
Space group Pnma (No. 62)
Unique sites:
K1 0.012 0.108 0.136 x8
K2 0.159 0.250 0.584 x4
Tl1 0.138 0.608 0.374 x8
Bi1 0.163 0.048 0.589 x8
Bi2 0.209 0.750 0.592 x4

Its formation energy is -0.22 eV/atom. For the calculated total energy, the calculation gives -85.80 eV/cell.

***

Record 4
Computed, not measured: a relaxed structure of Sm3Tm6Sc at the PBE level of DFT.

a b c (Å): 6.057 6.079 9.273
angles (deg): 102.50 108.93 99.73
Space group P-1 (No. 2)
Unique sites:
Sm1 0.000 0.000 0.000 x1
Sm2 0.200 0.600 0.204 x2
Tm1 0.197 0.098 0.696 x2
Tm2 0.398 0.698 0.897 x2
Tm3 0.403 0.203 0.403 x2
Sc1 0.000 0.500 0.500 x1

As for the excess energy over the best structure of this formula in the dataset: 0 meV per atom. Its formation energy is 0.03 eV/atom. For the calculated total energy, the calculation gives -46.97 eV/cell.

***

Among the records above, which one has the highest calculated total energy? Ag3HgRh

***

Which value of calculated total energy does entry 2 give? -11.72 eV/cell

***

What is the formation energy in the fourth record? 0.03 eV/atom